# PBEsol MoCl6, relaxed
# Magnetic moment: 0.00 μB per cell
# Formation energy from raw total energies: -740.7 meV per atom
# DFT total energy: -29.0 eV/f.u.
data_MoCl6
_cell_length_a 6.0848
_cell_length_b 6.0848
_cell_length_c 5.4441
_cell_angle_alpha 90.00
_cell_angle_beta 90.00
_cell_angle_gamma 120.00
_symmetry_space_group_name_H-M 'P -3 1 m'
_symmetry_Int_Tables_number 162
_symmetry_space_group_name_Hall '-P 3 2'
loop_
_atom_site_label
_atom_site_type_symbol
_atom_site_fract_x
_atom_site_fract_y
_atom_site_fract_z
Mo1 Mo 0.0000 0.0000 0.0000
Cl1 Cl 0.0000 0.3064 0.7573

---

# PBEsol MoCl5, relaxed
# Magnetic moment: 12.10 μB per cell
# Formation energy from raw total energies: -793.7 meV per atom
# Offset from the most stable computed form: 0.001 eV per atom
# DFT total energy: -26.6 eV/f.u.
data_MoCl5
_cell_length_a 17.255
_cell_length_b 17.547
_cell_length_c 6.105
_cell_angle_alpha 90.00
_cell_angle_beta 96.61
_cell_angle_gamma 90.00
_symmetry_space_group_name_H-M 'C 1 2/m 1'
_symmetry_Int_Tables_number 12
_symmetry_space_group_name_Hall '-C 2y'
loop_
_atom_site_label
_atom_site_type_symbol
_atom_site_fract_x
_atom_site_fract_y
_atom_site_fract_z
Mo1 Mo 0.000 0.110 0.000
Mo2 Mo 0.166 0.391 0.562
Cl1 Cl 0.075 0.097 0.327
Cl2 Cl 0.076 0.000 0.876
Cl3 Cl 0.082 0.192 0.866
Cl4 Cl 0.086 0.308 0.372
Cl5 Cl 0.089 0.402 0.837
Cl6 Cl 0.091 0.500 0.387
Cl7 Cl 0.241 0.500 0.738
Cl8 Cl 0.243 0.403 0.287
Cl9 Cl 0.247 0.309 0.752

---

# PBEsol MoCl5, relaxed
# Magnetic moment: 8.06 μB per cell
# Formation energy from raw total energies: -792.3 meV per atom
# Offset from the most stable computed form: 0.003 eV per atom
# DFT total energy: -26.6 eV/f.u.
data_MoCl5
_cell_length_a 9.299
_cell_length_b 11.507
_cell_length_c 12.187
_cell_angle_alpha 90.00
_cell_angle_beta 109.49
_cell_angle_gamma 90.00
_symmetry_space_group_name_H-M 'P 1 21/c 1'
_symmetry_Int_Tables_number 14
_symmetry_space_group_name_Hall '-P 2ybc'
loop_
_atom_site_label
_atom_site_type_symbol
_atom_site_fract_x
_atom_site_fract_y
_atom_site_fract_z
Mo1 Mo 0.125 0.125 0.318
Mo2 Mo 0.313 0.623 0.295
Cl1 Cl 0.094 0.514 0.160
Cl2 Cl 0.094 0.735 0.315
Cl3 Cl 0.100 0.009 0.163
Cl4 Cl 0.100 0.241 0.461
Cl5 Cl 0.283 0.507 0.435
Cl6 Cl 0.289 0.741 0.140
Cl7 Cl 0.291 0.005 0.443
Cl8 Cl 0.291 0.244 0.278
Cl9 Cl 0.480 0.504 0.255
Cl10 Cl 0.481 0.740 0.421